1.
# Zn2SbSO PBE-GGA optimized geometry
# M_tot (μB/cell): 0.00
# Raw formation energy (meV per atom): 680
# Final energy (eV/atom): -2.4709
# DOS at the Fermi energy (states/eV/cell): 3.02
data_Zn2SbSO
_chemical_formula_sum 'Zn2 Sb1 S1 O1'
_space_group_name_H-M_alt 'P 4/m m m'
_space_group_IT_number 123
_space_group_name_Hall '-P 4 2'
_cell_length_a 4.5275
_cell_length_b 4.5275
_cell_length_c 5.5130
_cell_angle_alpha 90.00
_cell_angle_beta 90.00
_cell_angle_gamma 90.00
loop_
_atom_site_label
_atom_site_type_symbol
_atom_site_fract_x
_atom_site_fract_y
_atom_site_fract_z
Zn1 Zn 0.0000 0.5000 0.0000
Sb1 Sb 0.0000 0.0000 0.5000
S1 S 0.0000 0.0000 0.0000
O1 O 0.5000 0.5000 0.5000

***

2.
# Tb2NdDy2Y PBE-GGA optimized geometry
# Calculated formation energy (kJ/mol of formula units): 94
# M_tot (μB/cell): 0.00
# Final energy (eV/atom): -4.7879
# DOS at the Fermi energy (states/eV/cell): 18.50
data_Tb2NdDy2Y
_chemical_formula_sum 'Tb4 Nd2 Dy4 Y2'
_space_group_name_H-M_alt 'P n n m'
_space_group_IT_number 58
_space_group_name_Hall '-P 2 2n'
_cell_length_a 6.9575
_cell_length_b 16.2652
_cell_length_c 3.5164
_cell_angle_alpha 90.00
_cell_angle_beta 90.00
_cell_angle_gamma 90.00
loop_
_atom_site_label
_atom_site_type_symbol
_atom_site_fract_x
_atom_site_fract_y
_atom_site_fract_z
Tb1 Tb 0.2493 0.1578 0.0000
Nd1 Nd 0.0000 0.5000 0.0000
Dy1 Dy 0.2493 0.3430 0.5000
Y1 Y 0.0000 0.0000 0.5000

***

3.
# PrSmEr2Sc PBE-GGA optimized geometry
# Calculated formation energy (kJ/mol of formula units): 23
# M_tot (μB/cell): 0.00
# Final energy (eV/atom): -4.9442
# DOS at the Fermi energy (states/eV/cell): 16.10
data_PrSmEr2Sc
_chemical_formula_sum 'Pr2 Sm2 Er4 Sc2'
_space_group_name_H-M_alt 'P 1 21/m 1'
_space_group_IT_number 11
_space_group_name_Hall '-P 2yb'
_cell_length_a 7.8577
_cell_length_b 5.0034
_cell_length_c 7.8828
_cell_angle_alpha 90.00
_cell_angle_beta 90.15
_cell_angle_gamma 90.00
loop_
_atom_site_label
_atom_site_type_symbol
_atom_site_fract_x
_atom_site_fract_y
_atom_site_fract_z
Pr1 Pr 0.2446 0.2500 0.2414
Sm1 Sm 0.4453 0.2500 0.6533
Er1 Er 0.1466 0.7500 0.5477
Er2 Er 0.3396 0.7500 0.9474
Sc1 Sc 0.0479 0.2500 0.8501

***

4.
# Er3InAg2 PBE-GGA optimized geometry
# Calculated formation energy (kJ/mol of formula units): -219
# M_tot (μB/cell): 0.00
# Final energy (eV/atom): -4.0664
# DOS at the Fermi energy (states/eV/cell): 3.39
data_Er3InAg2
_chemical_formula_sum 'Er3 In1 Ag2'
_space_group_name_H-M_alt 'P 4/m m m'
_space_group_IT_number 123
_space_group_name_Hall '-P 4 2'
_cell_length_a 3.5838
_cell_length_b 3.5838
_cell_length_c 11.3437
_cell_angle_alpha 90.00
_cell_angle_beta 90.00
_cell_angle_gamma 90.00
loop_
_atom_site_label
_atom_site_type_symbol
_atom_site_fract_x
_atom_site_fract_y
_atom_site_fract_z
Er1 Er 0.0000 0.0000 0.0000
Er2 Er 0.0000 0.0000 0.3212
In1 In 0.5000 0.5000 0.5000
Ag1 Ag 0.5000 0.5000 0.1624

***

5.
# RbLaI2Br PBE-GGA optimized geometry
# M_tot (μB/cell): 0.47
# Raw formation energy (meV per atom): -1415
# Final energy (eV/atom): -3.5483
# DOS at the Fermi energy (states/eV/cell): 4.67
data_RbLaI2Br
_chemical_formula_sum 'Rb1 La1 I2 Br1'
_space_group_name_H-M_alt 'P 4/m m m'
_space_group_IT_number 123
_space_group_name_Hall '-P 4 2'
_cell_length_a 6.3425
_cell_length_b 6.3425
_cell_length_c 5.8830
_cell_angle_alpha 90.00
_cell_angle_beta 90.00
_cell_angle_gamma 90.00
loop_
_atom_site_label
_atom_site_type_symbol
_atom_site_fract_x
_atom_site_fract_y
_atom_site_fract_z
Rb1 Rb 0.0000 0.0000 0.0000
La1 La 0.5000 0.5000 0.5000
I1 I 0.0000 0.5000 0.5000
Br1 Br 0.5000 0.5000 0.0000

***

6.
# LiTb4Ag5 PBE-GGA optimized geometry
# Calculated formation energy (kJ/mol of formula units): -265
# M_tot (μB/cell): 0.00
# Final energy (eV/atom): -3.7441
# DOS at the Fermi energy (states/eV/cell): 5.38
data_LiTb4Ag5
_chemical_formula_sum 'Li1 Tb4 Ag5'
_space_group_name_H-M_alt 'P 4/m m m'
_space_group_IT_number 123
_space_group_name_Hall '-P 4 2'
_cell_length_a 3.5822
_cell_length_b 3.5822
_cell_length_c 17.8567
_cell_angle_alpha 90.00
_cell_angle_beta 90.00
_cell_angle_gamma 90.00
loop_
_atom_site_label
_atom_site_type_symbol
_atom_site_fract_x
_atom_site_fract_y
_atom_site_fract_z
Li1 Li 0.0000 0.0000 0.0000
Tb1 Tb 0.0000 0.0000 0.1845
Tb2 Tb 0.0000 0.0000 0.3950
Ag1 Ag 0.5000 0.5000 0.0804
Ag2 Ag 0.5000 0.5000 0.2902
Ag3 Ag 0.5000 0.5000 0.5000

***

7.
# Tl2ReS2Br4 PBE-GGA optimized geometry
# M_tot (μB/cell): 1.97
# Raw formation energy (meV per atom): -360
# Final energy (eV/atom): -3.9295
# DOS at the Fermi energy (states/eV/cell): 0.89
data_Tl2ReS2Br4
_chemical_formula_sum 'Tl4 Re2 S4 Br8'
_space_group_name_H-M_alt 'C 1 2/m 1'
_space_group_IT_number 12
_space_group_name_Hall '-C 2y'
_cell_length_a 12.0458
_cell_length_b 7.4084
_cell_length_c 6.2060
_cell_angle_alpha 90.00
_cell_angle_beta 97.25
_cell_angle_gamma 90.00
loop_
_atom_site_label
_atom_site_type_symbol
_atom_site_fract_x
_atom_site_fract_y
_atom_site_fract_z
Tl1 Tl 0.1648 0.0000 0.2447
Re1 Re 0.0000 0.5000 0.0000
S1 S 0.1404 0.5000 0.2652
Br1 Br 0.0986 0.2522 0.7998

***

8.
# Sc6Mn2Ga PBE-GGA optimized geometry
# Calculated formation energy (kJ/mol of formula units): -145
# M_tot (μB/cell): 7.78
# Final energy (eV/atom): -6.7620
# DOS at the Fermi energy (states/eV/cell): 40.43
data_Sc6Mn2Ga
_chemical_formula_sum 'Sc24 Mn8 Ga4'
_space_group_name_H-M_alt 'I m m m'
_space_group_IT_number 71
_space_group_name_Hall '-I 2 2'
_cell_length_a 8.7866
_cell_length_b 8.8866
_cell_length_c 9.2111
_cell_angle_alpha 90.00
_cell_angle_beta 90.00
_cell_angle_gamma 90.00
loop_
_atom_site_label
_atom_site_type_symbol
_atom_site_fract_x
_atom_site_fract_y
_atom_site_fract_z
Sc1 Sc 0.0000 0.2104 0.1837
Sc2 Sc 0.1869 0.2195 0.5000
Sc3 Sc 0.2088 0.5000 0.2620
Mn1 Mn 0.0000 0.0000 0.3860
Mn2 Mn 0.1251 0.0000 0.0000
Ga1 Ga 0.0000 0.5000 0.0000
Ga2 Ga 0.0000 0.5000 0.5000

***

- final energy of number 2 (Tb2NdDy2Y)?
  -4.7879 eV/atom